A plane-wave DFT calculation with PBE-GGA was carried out for a geometry-optimized LiPr2Au structure.

Unit cell a=4.487 b=4.487 c=19.258 alpha=90.00 beta=90.00 gamma=120.00
Sites, in units of the cell vectors:
Li 0.000 0.000 0.000
Li 0.333 0.667 0.667
Li 0.667 0.333 0.333
Pr 0.000 0.000 0.573
Pr 0.000 0.000 0.766
Pr 0.333 0.667 0.240
Pr 0.333 0.667 0.432
Pr 0.667 0.333 0.099
Pr 0.667 0.333 0.906
Au 0.000 0.000 0.340
Au 0.333 0.667 0.006
Au 0.667 0.333 0.673

## Properties
- space-group type = R3m
- ΔE_f (eV per atom) = -0.2835
- electronic total energy (eV per atom) = -3.97